--- 1 ---
# PBE BaCa2Tl, relaxed
data_BaCa2Tl
_symmetry_space_group_name_H-M 'C m c m'
_symmetry_Int_Tables_number 63
_symmetry_space_group_name_Hall '-C 2c 2'
_cell_length_a 5.401
_cell_length_b 13.064
_cell_length_c 9.350
_cell_angle_alpha 90.00
_cell_angle_beta 90.00
_cell_angle_gamma 90.00
loop_
_atom_site_label
_atom_site_type_symbol
_atom_site_fract_x
_atom_site_fract_y
_atom_site_fract_z
Ba1 Ba 0.000 0.058 0.250
Ca1 Ca 0.000 0.343 0.054
Tl1 Tl 0.000 0.220 0.750
# M_tot (μB per formula unit): 0.3

--- 2 ---
# PBE BaCa2Tl, relaxed
data_BaCa2Tl
_symmetry_space_group_name_H-M 'P 1 m 1'
_symmetry_Int_Tables_number 6
_symmetry_space_group_name_Hall 'P -2y'
_cell_length_a 4.134
_cell_length_b 4.131
_cell_length_c 9.519
_cell_angle_alpha 90.00
_cell_angle_beta 90.01
_cell_angle_gamma 90.00
loop_
_atom_site_label
_atom_site_type_symbol
_atom_site_fract_x
_atom_site_fract_y
_atom_site_fract_z
Ba1 Ba 0.000 0.000 0.000
Ca1 Ca 0.000 0.000 0.597
Ca2 Ca 0.501 0.500 0.330
Tl1 Tl 0.500 0.500 0.759
# M_tot (μB per formula unit): 0.0

Stability summary: most stable 1, least stable 2.

--- 1 ---
# PBE MoIr2Rh, relaxed
data_MoIr2Rh
_symmetry_space_group_name_H-M 'P 4/m m m'
_symmetry_Int_Tables_number 123
_symmetry_space_group_name_Hall '-P 4 2'
_cell_length_a 3.893
_cell_length_b 3.893
_cell_length_c 3.862
_cell_angle_alpha 90.00
_cell_angle_beta 90.00
_cell_angle_gamma 90.00
loop_
_atom_site_label
_atom_site_type_symbol
_atom_site_fract_x
_atom_site_fract_y
_atom_site_fract_z
Mo1 Mo 0.000 0.000 0.000
Ir1 Ir 0.000 0.500 0.500
Rh1 Rh 0.500 0.500 0.000
# M_tot (μB per formula unit): 0.0

--- 2 ---
# PBE MoIr2Rh, relaxed
data_MoIr2Rh
_symmetry_space_group_name_H-M 'I -4 m 2'
_symmetry_Int_Tables_number 119
_symmetry_space_group_name_Hall 'I -4 -2'
_cell_length_a 3.886
_cell_length_b 3.886
_cell_length_c 7.772
_cell_angle_alpha 90.00
_cell_angle_beta 90.00
_cell_angle_gamma 90.00
loop_
_atom_site_label
_atom_site_type_symbol
_atom_site_fract_x
_atom_site_fract_y
_atom_site_fract_z
Mo1 Mo 0.000 0.000 0.000
Ir1 Ir 0.000 0.000 0.500
Ir2 Ir 0.000 0.500 0.750
Rh1 Rh 0.000 0.500 0.250
# M_tot (μB per formula unit): 0.0

Stability summary: most stable 1, least stable 2.

--- 1 ---
# PBE AcCdAg, relaxed
data_AcCdAg
_symmetry_space_group_name_H-M 'F -4 3 m'
_symmetry_Int_Tables_number 216
_symmetry_space_group_name_Hall 'F -4 2 3'
_cell_length_a 7.252
_cell_length_b 7.252
_cell_length_c 7.252
_cell_angle_alpha 90.00
_cell_angle_beta 90.00
_cell_angle_gamma 90.00
loop_
_atom_site_label
_atom_site_type_symbol
_atom_site_fract_x
_atom_site_fract_y
_atom_site_fract_z
Ac1 Ac 0.000 0.000 0.000
Cd1 Cd 0.000 0.000 0.500
Ag1 Ag 0.250 0.250 0.750
# M_tot (μB per formula unit): 0.0

--- 2 ---
# PBE AcCdAg, relaxed
data_AcCdAg
_symmetry_space_group_name_H-M 'I 4 m m'
_symmetry_Int_Tables_number 107
_symmetry_space_group_name_Hall 'I 4 -2'
_cell_length_a 3.915
_cell_length_b 3.915
_cell_length_c 11.016
_cell_angle_alpha 90.00
_cell_angle_beta 90.00
_cell_angle_gamma 90.00
loop_
_atom_site_label
_atom_site_type_symbol
_atom_site_fract_x
_atom_site_fract_y
_atom_site_fract_z
Ac1 Ac 0.000 0.000 0.000
Cd1 Cd 0.000 0.000 0.692
Ag1 Ag 0.000 0.000 0.312
# M_tot (μB per formula unit): 0.0

Stability summary: most stable 2, least stable 1.

--- 1 ---
# PBE ReTc, relaxed
data_ReTc
_symmetry_space_group_name_H-M 'P m m n'
_symmetry_Int_Tables_number 59
_cell_length_a 2.765
_cell_length_b 4.455
_cell_length_c 4.792
_cell_angle_alpha 90.00
_cell_angle_beta 90.00
_cell_angle_gamma 90.00
loop_
_symmetry_equiv_pos_as_xyz
'x,y,z'
'-x,-y,-z'
'-x+1/2,-y+1/2,z'
'x+1/2,y+1/2,-z'
'x+1/2,-y,-z'
'-x+1/2,y,z'
'-x,y+1/2,-z'
'x,-y+1/2,z'
loop_
_atom_site_label
_atom_site_type_symbol
_atom_site_fract_x
_atom_site_fract_y
_atom_site_fract_z
Re1 Re 0.250 0.250 0.085
Tc1 Tc 0.250 0.750 0.419
# M_tot (μB per formula unit): 0.0

--- 2 ---
# PBE ReTc, relaxed
data_ReTc
_symmetry_space_group_name_H-M 'F -4 3 m'
_symmetry_Int_Tables_number 216
_symmetry_space_group_name_Hall 'F -4 2 3'
_cell_length_a 5.609
_cell_length_b 5.609
_cell_length_c 5.609
_cell_angle_alpha 90.00
_cell_angle_beta 90.00
_cell_angle_gamma 90.00
loop_
_atom_site_label
_atom_site_type_symbol
_atom_site_fract_x
_atom_site_fract_y
_atom_site_fract_z
Re1 Re 0.000 0.000 0.000
Tc1 Tc 0.250 0.250 0.250
# M_tot (μB per formula unit): 0.0

Stability summary: most stable 1, least stable 2.